# LiReSi2 PBEsol optimized geometry
# ΔE to the lowest computed polymorph: 0 meV/atom
# Spin magnetization: 0.000 μB per atom
# V: 12.79 A^3/atom
# Energy relative to the elements, uncorrected: -0.2084 eV per atom
# Space-group type: P4/mmm, No. 123
data_LiReSi2
_chemical_formula_sum 'Li1 Re1 Si2'
_cell_length_a 3.092
_cell_length_b 3.092
_cell_length_c 5.348
_cell_angle_alpha 90.00
_cell_angle_beta 90.00
_cell_angle_gamma 90.00
_symmetry_space_group_name_H-M 'P 1'
_symmetry_Int_Tables_number 1
_symmetry_space_group_name_Hall 'P 1'
loop_
_atom_site_label
_atom_site_type_symbol
_atom_site_fract_x
_atom_site_fract_y
_atom_site_fract_z
Re1 Re 0.500 0.500 0.500
Li1 Li 0.500 0.500 0.000
Si1 Si 0.000 0.000 0.248
Si2 Si 0.000 0.000 0.752